[1]
CaLa3Pr6 | PBE | optimized geometry

a b c (Å): 6.0050 9.8549 12.7327
angles (deg): 90.00 90.02 90.00
Last column: nearest neighbours and their distance in Å.
Element x y z (fractional)
Ca (0.5000, 0.5000, 0.5000)  6 Pr 3.26-3.63
Ca (0.0000, 0.0000, 0.0000)  6 Pr 3.26-3.63
Pr (0.4997, 0.4709, 0.2452)  4 La 3.14-3.40, 1 Ca 3.26
La (0.0001, 0.6891, 0.7428)  4 Pr 3.35-3.74
La (0.4999, 0.1891, 0.7572)  4 Pr 3.35-3.74
Pr (0.0003, 0.9709, 0.2548)  4 La 3.14-3.40, 1 Ca 3.26
La (0.5000, 0.5000, 0.0000)  2 Pr 3.14
Pr (0.4999, 0.8502, 0.8896)  4 Pr 3.60-3.94, 2 Ca 3.63, 4 La 3.73-3.88
Pr (0.5000, 0.8480, 0.6022)  5 La 3.60-3.90, 5 Pr 3.66-3.97, 1 Ca 3.67
La (0.0000, 0.0000, 0.5000)  2 Pr 3.14
Pr (0.0000, 0.3480, 0.8978)  5 La 3.60-3.90, 5 Pr 3.66-3.97, 1 Ca 3.67
Pr (0.9999, 0.6497, 0.3896)  4 Pr 3.60-3.94, 2 Ca 3.63, 4 La 3.73-3.88
La (0.5001, 0.8109, 0.2428)  4 Pr 3.35-3.74
Pr (0.5001, 0.1498, 0.1104)  4 Pr 3.60-3.94, 2 Ca 3.63, 4 La 3.73-3.88
Pr (0.0001, 0.3503, 0.6104)  4 Pr 3.60-3.94, 2 Ca 3.63, 4 La 3.73-3.88
Pr (0.5000, 0.1520, 0.3978)  5 La 3.60-3.90, 5 Pr 3.66-3.97, 1 Ca 3.67
Pr (0.0000, 0.6520, 0.1022)  5 La 3.60-3.90, 5 Pr 3.66-3.97, 1 Ca 3.67
La (0.9999, 0.3109, 0.2572)  4 Pr 3.35-3.74
Pr (0.9997, 0.0291, 0.7452)  4 La 3.14-3.40, 1 Ca 3.26
Pr (0.5003, 0.5291, 0.7548)  4 La 3.14-3.40, 1 Ca 3.26


[2]
CaLa4Pr6 | PBE | optimized geometry

a b c (Å): 8.0032 8.0032 8.8102
angles (deg): 117.01 117.01 90.00
Last column: nearest neighbours and their distance in Å.
Element x y z (fractional)
Pr (0.5000, 0.0000, 0.0000)  4 La 3.13
Pr (0.0000, 0.5000, 0.0000)  4 La 3.13
Pr (0.5576, 0.5576, 0.6180)  1 La 3.27
La (0.7523, 0.0965, 0.8487)  3 Pr 3.13-3.27, 2 La 3.43
Pr (0.4424, 0.9396, 0.3820)  1 La 3.27
Pr (0.9396, 0.4424, 0.3820)  1 La 3.27
La (0.0965, 0.7523, 0.8487)  3 Pr 3.13-3.27, 2 La 3.43
La (0.2477, 0.2477, 0.1513)  3 Pr 3.13-3.27, 2 La 3.43
La (0.9035, 0.9035, 0.1513)  3 Pr 3.13-3.27, 2 La 3.43
Ca (0.5000, 0.5000, 0.0000)  8 Pr 3.82-4.00, 4 La 3.85
Pr (0.0604, 0.0604, 0.6180)  1 La 3.27

Properties
The calculation puts the relative energy among the computed polymorphs at 0.0627 eV/atom.


| no. | energy of formation from the pure elements (eV/f.u.) | calculated volume (Å³ per cell) |
| --- | --- | --- |
| 1 | 1.70 | 753.5 |
| 2 | 3.74 | 432.5 |